1.
# PBE Ce2ErThN4, relaxed
data_Ce2ErThN4
_space_group_name_H-M_alt 'P 1 2/m 1'
_space_group_IT_number 10
_cell_length_a 6.171
_cell_length_b 3.563
_cell_length_c 6.173
_cell_angle_alpha 90.00
_cell_angle_beta 109.29
_cell_angle_gamma 90.00
loop_
_space_group_symop_operation_xyz
'x,y,z'
'-x,-y,-z'
'-x,y,-z'
'x,-y,z'
loop_
_atom_site_label
_atom_site_fract_x
_atom_site_fract_y
_atom_site_fract_z
_atom_site_occupancy
Ce1 0.000 0.000 0.000 1
Ce2 0.500 0.500 0.000 1
Er1 0.000 0.500 0.500 1
Th1 0.500 0.000 0.500 1
N1 0.243 0.000 0.745 1
N2 0.243 0.500 0.253 1
# mass density	9.5	g/cm³
# total DFT energy (no corrections)	-8.718	eV/atom
# N(E_F)	0.808	states/eV per atom
# V	128.1	Å³ per cell

2.
# PBE CeErTiN3, relaxed
data_CeErTiN3
_space_group_name_H-M_alt 'P 1 21/m 1'
_space_group_IT_number 11
_cell_length_a 7.171
_cell_length_b 3.369
_cell_length_c 7.955
_cell_angle_alpha 90.00
_cell_angle_beta 93.13
_cell_angle_gamma 90.00
loop_
_space_group_symop_operation_xyz
'x,y,z'
'-x,-y,-z'
'-x,y+1/2,-z'
'x,-y+1/2,z'
loop_
_atom_site_label
_atom_site_fract_x
_atom_site_fract_y
_atom_site_fract_z
_atom_site_occupancy
Ce1 0.151 0.250 0.175 1
Er1 0.375 0.750 0.855 1
Ti1 0.123 0.250 0.583 1
N1 0.140 0.250 0.833 1
N2 0.160 0.750 0.455 1
N3 0.386 0.750 0.131 1
# mass density	6.9	g/cm³
# total DFT energy (no corrections)	-8.556	eV/atom
# N(E_F)	0.887	states/eV per atom
# V	191.9	Å³ per cell

3.
# PBE Ce2ErTiN5, relaxed
data_Ce2ErTiN5
_space_group_name_H-M_alt 'C m c 21'
_space_group_IT_number 36
_cell_length_a 3.485
_cell_length_b 13.549
_cell_length_c 11.022
_cell_angle_alpha 90.00
_cell_angle_beta 90.00
_cell_angle_gamma 90.00
loop_
_space_group_symop_operation_xyz
'x,y,z'
'-x,-y,z+1/2'
'-x,y,z'
'x,-y,z+1/2'
'x+1/2,y+1/2,z'
'-x+1/2,-y+1/2,z+1/2'
'-x+1/2,y+1/2,z'
'x+1/2,-y+1/2,z+1/2'
loop_
_atom_site_label
_atom_site_fract_x
_atom_site_fract_y
_atom_site_fract_z
_atom_site_occupancy
Ce1 0.000 0.126 0.000 1
Ce2 0.000 0.132 0.541 1
Er1 0.000 0.227 0.281 1
Ti1 0.000 0.495 0.776 1
N1 0.000 0.056 0.333 1
N2 0.000 0.283 0.936 1
N3 0.000 0.288 0.637 1
N4 0.000 0.382 0.359 1
N5 0.000 0.473 0.104 1
# mass density	7.2	g/cm³
# total DFT energy (no corrections)	-8.760	eV/atom
# V	520.4	Å³ per cell

4.
# PBE CeEr2TlN, relaxed
data_CeEr2TlN
_space_group_name_H-M_alt 'P 4/m m m'
_space_group_IT_number 123
_space_group_name_Hall '-P 4 2'
_cell_length_a 4.820
_cell_length_b 4.820
_cell_length_c 4.862
_cell_angle_alpha 90.00
_cell_angle_beta 90.00
_cell_angle_gamma 90.00
loop_
_atom_site_label
_atom_site_fract_x
_atom_site_fract_y
_atom_site_fract_z
_atom_site_occupancy
Ce1 0.000 0.000 0.000 1
Er1 0.000 0.500 0.500 1
Tl1 0.500 0.500 0.000 1
N1 0.000 0.000 0.500 1
# mass density	10.2	g/cm³
# total DFT energy (no corrections)	-5.991	eV/atom
# N(E_F)	1.420	states/eV per atom
# V	113.0	Å³ per cell

5.
# PBE CeEr2TmN4, relaxed
data_CeEr2TmN4
_space_group_name_H-M_alt 'P 1 2/m 1'
_space_group_IT_number 10
_cell_length_a 5.978
_cell_length_b 3.459
_cell_length_c 5.978
_cell_angle_alpha 90.00
_cell_angle_beta 109.29
_cell_angle_gamma 90.00
loop_
_space_group_symop_operation_xyz
'x,y,z'
'-x,-y,-z'
'-x,y,-z'
'x,-y,z'
loop_
_atom_site_label
_atom_site_fract_x
_atom_site_fract_y
_atom_site_fract_z
_atom_site_occupancy
Ce1 0.000 0.000 0.000 1
Er1 0.500 0.000 0.500 1
Er2 0.500 0.500 0.000 1
Tm1 0.000 0.500 0.500 1
N1 0.248 0.000 0.749 1
N2 0.252 0.500 0.253 1
# mass density	10.0	g/cm³
# total DFT energy (no corrections)	-8.309	eV/atom
# N(E_F)	0.415	states/eV per atom
# V	116.7	Å³ per cell

6.
# PBE Ce2ErUN4, relaxed
data_Ce2ErUN4
_space_group_name_H-M_alt 'P 1 2/m 1'
_space_group_IT_number 10
_cell_length_a 5.975
_cell_length_b 3.492
_cell_length_c 6.109
_cell_angle_alpha 90.00
_cell_angle_beta 109.02
_cell_angle_gamma 90.00
loop_
_space_group_symop_operation_xyz
'x,y,z'
'-x,-y,-z'
'-x,y,-z'
'x,-y,z'
loop_
_atom_site_label
_atom_site_fract_x
_atom_site_fract_y
_atom_site_fract_z
_atom_site_occupancy
Ce1 0.000 0.000 0.000 1
Ce2 0.500 0.500 0.000 1
Er1 0.000 0.500 0.500 1
U1 0.500 0.000 0.500 1
N1 0.259 0.000 0.724 1
N2 0.270 0.500 0.280 1
# mass density	10.2	g/cm³
# total DFT energy (no corrections)	-9.168	eV/atom
# N(E_F)	1.094	states/eV per atom
# V	120.5	Å³ per cell

7.
# PBE Ce3Er2UN6, relaxed
data_Ce3Er2UN6
_space_group_name_H-M_alt 'C 1 2/m 1'
_space_group_IT_number 12
_cell_length_a 6.003
_cell_length_b 10.390
_cell_length_c 6.127
_cell_angle_alpha 90.00
_cell_angle_beta 109.05
_cell_angle_gamma 90.00
loop_
_space_group_symop_operation_xyz
'x,y,z'
'-x,-y,-z'
'-x,y,-z'
'x,-y,z'
'x+1/2,y+1/2,z'
'-x+1/2,-y+1/2,-z'
'-x+1/2,y+1/2,-z'
'x+1/2,-y+1/2,z'
loop_
_atom_site_label
_atom_site_fract_x
_atom_site_fract_y
_atom_site_fract_z
_atom_site_occupancy
Ce1 0.000 0.000 0.000 1
Ce2 0.000 0.331 0.000 1
Er1 0.000 0.167 0.500 1
U1 0.000 0.500 0.500 1
N1 0.233 0.342 0.726 1
N2 0.240 0.500 0.272 1
# mass density	9.9	g/cm³
# total DFT energy (no corrections)	-8.927	eV/atom
# N(E_F)	0.910	states/eV per atom
# V	361.2	Å³ per cell

8.
# PBE CeEr2UN4, relaxed
data_CeEr2UN4
_space_group_name_H-M_alt 'P 1 2/m 1'
_space_group_IT_number 10
_cell_length_a 5.996
_cell_length_b 3.452
_cell_length_c 5.997
_cell_angle_alpha 90.00
_cell_angle_beta 109.08
_cell_angle_gamma 90.00
loop_
_space_group_symop_operation_xyz
'x,y,z'
'-x,-y,-z'
'-x,y,-z'
'x,-y,z'
loop_
_atom_site_label
_atom_site_fract_x
_atom_site_fract_y
_atom_site_fract_z
_atom_site_occupancy
Ce1 0.000 0.000 0.000 1
Er1 0.000 0.500 0.500 1
Er2 0.500 0.000 0.500 1
U1 0.500 0.500 0.000 1
N1 0.263 0.000 0.754 1
N2 0.267 0.500 0.247 1
# mass density	10.9	g/cm³
# total DFT energy (no corrections)	-9.030	eV/atom
# N(E_F)	0.860	states/eV per atom
# V	117.3	Å³ per cell

9.
# PBE Ce3YEr2N6, relaxed
data_Ce3YEr2N6
_space_group_name_H-M_alt 'C 1 2/m 1'
_space_group_IT_number 12
_cell_length_a 6.070
_cell_length_b 10.514
_cell_length_c 6.082
_cell_angle_alpha 90.00
_cell_angle_beta 109.44
_cell_angle_gamma 90.00
loop_
_space_group_symop_operation_xyz
'x,y,z'
'-x,-y,-z'
'-x,y,-z'
'x,-y,z'
'x+1/2,y+1/2,z'
'-x+1/2,-y+1/2,-z'
'-x+1/2,y+1/2,-z'
'x+1/2,-y+1/2,z'
loop_
_atom_site_label
_atom_site_fract_x
_atom_site_fract_y
_atom_site_fract_z
_atom_site_occupancy
Ce1 0.000 0.000 0.000 1
Ce2 0.000 0.333 0.000 1
Y1 0.000 0.500 0.500 1
Er1 0.000 0.167 0.500 1
N1 0.245 0.000 0.745 1
N2 0.250 0.168 0.254 1
# mass density	8.4	g/cm³
# total DFT energy (no corrections)	-8.556	eV/atom
# N(E_F)	0.591	states/eV per atom
# V	366.0	Å³ per cell

10.
# PBE CeYEr2N4, relaxed
data_CeYEr2N4
_space_group_name_H-M_alt 'P 1 2/m 1'
_space_group_IT_number 10
_cell_length_a 6.009
_cell_length_b 3.477
_cell_length_c 6.010
_cell_angle_alpha 90.00
_cell_angle_beta 109.30
_cell_angle_gamma 90.00
loop_
_space_group_symop_operation_xyz
'x,y,z'
'-x,-y,-z'
'-x,y,-z'
'x,-y,z'
loop_
_atom_site_label
_atom_site_fract_x
_atom_site_fract_y
_atom_site_fract_z
_atom_site_occupancy
Ce1 0.000 0.000 0.000 1
Y1 0.500 0.500 0.000 1
Er1 0.000 0.500 0.500 1
Er2 0.500 0.000 0.500 1
N1 0.247 0.000 0.748 1
N2 0.251 0.500 0.254 1
# mass density	8.7	g/cm³
# total DFT energy (no corrections)	-8.532	eV/atom
# N(E_F)	0.424	states/eV per atom
# V	118.5	Å³ per cell

11.
# PBE CeY2ErN4, relaxed
data_CeY2ErN4
_space_group_name_H-M_alt 'P 1 2/m 1'
_space_group_IT_number 10
_cell_length_a 6.030
_cell_length_b 3.491
_cell_length_c 6.031
_cell_angle_alpha 90.00
_cell_angle_beta 109.30
_cell_angle_gamma 90.00
loop_
_space_group_symop_operation_xyz
'x,y,z'
'-x,-y,-z'
'-x,y,-z'
'x,-y,z'
loop_
_atom_site_label
_atom_site_fract_x
_atom_site_fract_y
_atom_site_fract_z
_atom_site_occupancy
Ce1 0.000 0.000 0.000 1
Y1 0.000 0.500 0.500 1
Y2 0.500 0.000 0.500 1
Er1 0.500 0.500 0.000 1
N1 0.251 0.000 0.755 1
N2 0.251 0.500 0.248 1
# mass density	7.5	g/cm³
# total DFT energy (no corrections)	-8.751	eV/atom
# N(E_F)	0.426	states/eV per atom
# V	119.8	Å³ per cell

12.
# PBE CeErZnN3, relaxed
data_CeErZnN3
_space_group_name_H-M_alt 'P 1 21/m 1'
_space_group_IT_number 11
_cell_length_a 7.166
_cell_length_b 3.393
_cell_length_c 7.315
_cell_angle_alpha 90.00
_cell_angle_beta 98.94
_cell_angle_gamma 90.00
loop_
_space_group_symop_operation_xyz
'x,y,z'
'-x,-y,-z'
'-x,y+1/2,-z'
'x,-y+1/2,z'
loop_
_atom_site_label
_atom_site_fract_x
_atom_site_fract_y
_atom_site_fract_z
_atom_site_occupancy
Ce1 0.199 0.250 0.183 1
Er1 0.170 0.250 0.644 1
Zn1 0.403 0.750 0.897 1
N1 0.123 0.750 0.865 1
N2 0.151 0.750 0.406 1
N3 0.472 0.750 0.190 1
# mass density	7.8	g/cm³
# total DFT energy (no corrections)	-7.085	eV/atom
# V	175.7	Å³ per cell

Copy entry 10 word for word.
# PBE CeYEr2N4, relaxed
data_CeYEr2N4
_space_group_name_H-M_alt 'P 1 2/m 1'
_space_group_IT_number 10
_cell_length_a 6.009
_cell_length_b 3.477
_cell_length_c 6.010
_cell_angle_alpha 90.00
_cell_angle_beta 109.30
_cell_angle_gamma 90.00
loop_
_space_group_symop_operation_xyz
'x,y,z'
'-x,-y,-z'
'-x,y,-z'
'x,-y,z'
loop_
_atom_site_label
_atom_site_fract_x
_atom_site_fract_y
_atom_site_fract_z
_atom_site_occupancy
Ce1 0.000 0.000 0.000 1
Y1 0.500 0.500 0.000 1
Er1 0.000 0.500 0.500 1
Er2 0.500 0.000 0.500 1
N1 0.247 0.000 0.748 1
N2 0.251 0.500 0.254 1
# mass density	8.7	g/cm³
# total DFT energy (no corrections)	-8.532	eV/atom
# N(E_F)	0.424	states/eV per atom
# V	118.5	Å³ per cell